Record 1
VASP calculation (GGA-PBE) on an optimized crystal structure of TbAlBr6.

a b c (Å): 7.532 7.532 6.646
angles (deg): 97.59 97.59 127.60
Positions (direct):
Tb 0.000 0.000 0.000
Al 0.500 0.500 0.500
Br 0.144 0.412 0.277
Br 0.259 0.259 0.739
Br 0.412 0.144 0.277
Br 0.588 0.856 0.723
Br 0.741 0.741 0.261
Br 0.856 0.588 0.723

***

Record 2
VASP calculation (GGA-PBE) on an optimized crystal structure of Tb2AlBr.

Offset from the most stable computed form = 1.93 eV per formula unit

a b c (Å): 11.011 11.011 11.011
angles (deg): 18.13 18.13 18.13
Positions (direct):
Tb 0.094 0.094 0.094
Tb 0.906 0.906 0.906
Al 0.000 0.000 0.000
Br 0.500 0.500 0.500

***

no.,calculated total energy (eV/atom)
1,-3.688
2,-3.859